The following is a DFT calculation (GGA-PBE) of Ba2Pd15Au2 after structural relaxation.

Values from the calculation:
V ... 351.5 Å³ per cell
DFT formation energy ... -0.206 eV per atom
Space-group type ... R-3m, No. 166
N(E_F) ... 24.13 states/eV per cell

The structure in POSCAR format:
```
Ba2Pd15Au2
1.0
7.107 -0.026 -0.023
0.896 7.050 -0.023
0.896 0.786 7.006
Au Pd Ba
2 15 2
direct
0.101 0.101 0.101
0.899 0.899 0.899
0.705 0.000 0.295
0.000 0.000 0.500
0.345 0.345 0.846
0.154 0.655 0.655
0.295 0.000 0.705
0.345 0.846 0.345
0.655 0.655 0.154
0.295 0.705 0.000
0.655 0.154 0.655
0.000 0.295 0.705
0.000 0.500 0.000
0.846 0.345 0.345
0.705 0.295 0.000
0.000 0.705 0.295
0.500 0.000 0.000
0.343 0.343 0.343
0.657 0.657 0.657
```